## a
DFT (GGA-PBE) results for an optimized crystal structure of FeRe2Te2.

The structure belongs to space group P4/mbm (No. 127); the cell edges are 6.7404, 6.7404 and 4.1250 Å and the angles 90.00°, 90.00° and 90.00°. Symmetry generates all atoms from Fe at (0.0000, 0.0000, 0.0000), Re at (0.1325, 0.3675, 0.0000) and Te at (0.1738, 0.6738, 0.5000).

As for the crystal system: tetragonal. The magnetic moment comes out at 2.18 μB per formula unit.

***

## b
DFT (GGA-PBE) results for an optimized crystal structure of FeRe2Te2.

The structure belongs to space group I4/mmm (No. 139); the cell edges are 4.4671, 4.4671 and 10.7742 Å and the angles 90.00°, 90.00° and 90.00°. Symmetry generates all atoms from Fe at (0.0000, 0.0000, 0.0000), Re at (0.0000, 0.0000, 0.3862) and Te at (0.0000, 0.5000, 0.2500).

As for the crystal system: tetragonal. The magnetic moment comes out at 3.23 μB per formula unit.

***

a is preferred energetically. Next in line: 376 meV/atom higher.

***

## a
DFT (GGA-PBE) results for an optimized crystal structure of Fe3ReTe.

The structure belongs to space group Pm-3m (No. 221); the cell edges are 4.5863, 4.5863 and 4.5863 Å and the angles 90.00°, 90.00° and 90.00°. Symmetry generates all atoms from Fe at (0.0000, 0.0000, 0.5000), Re at (0.0000, 0.0000, 0.0000) and Te at (0.5000, 0.5000, 0.5000).

As for the crystal system: cubic. The magnetic moment comes out at 6.22 μB per formula unit.

***

## b
DFT (GGA-PBE) results for an optimized crystal structure of Fe3ReTe.

The structure belongs to space group Pm-3m (No. 221); the cell edges are 4.5988, 4.5988 and 4.5988 Å and the angles 90.00°, 90.00° and 90.00°. Symmetry generates all atoms from Fe at (0.0000, 0.0000, 0.5000), Re at (0.5000, 0.5000, 0.5000) and Te at (0.0000, 0.0000, 0.0000).

As for the crystal system: cubic. The magnetic moment comes out at 10.32 μB per formula unit.

***

a is preferred energetically. Next in line: 516 meV/atom higher.

***

## a
DFT (GGA-PBE) results for an optimized crystal structure of FeReTe.

The structure belongs to space group I4mm (No. 107); the cell edges are 3.2913, 3.2913 and 8.9985 Å and the angles 90.00°, 90.00° and 90.00°. Symmetry generates all atoms from Fe at (0.0000, 0.0000, 0.0000), Re at (0.0000, 0.0000, 0.6538) and Te at (0.0000, 0.0000, 0.3283).

As for the crystal system: tetragonal. The magnetic moment comes out at 2.87 μB per formula unit.

***

## b
DFT (GGA-PBE) results for an optimized crystal structure of FeReTe.

The structure belongs to space group F-43m (No. 216); the cell edges are 6.0916, 6.0916 and 6.0916 Å and the angles 90.00°, 90.00° and 90.00°. Symmetry generates all atoms from Fe at (0.0000, 0.0000, 0.0000), Re at (0.2500, 0.2500, 0.2500) and Te at (0.0000, 0.0000, 0.5000).

As for the crystal system: cubic. The magnetic moment comes out at 2.67 μB per formula unit.

***

## c
DFT (GGA-PBE) results for an optimized crystal structure of FeReTe.

The structure belongs to space group P3m1 (No. 156); the cell edges are 3.1111, 3.1111 and 6.1198 Å and the angles 90.00°, 90.00° and 120.00°. Symmetry generates all atoms from Fe at (0.0000, 0.0000, 0.0000), Re at (0.6667, 0.3333, 0.2877) and Te at (0.3333, 0.6667, 0.6467).

As for the crystal system: trigonal. The magnetic moment comes out at 2.54 μB per formula unit.

***

b is preferred energetically. Next in line: 118 meV/atom higher.

***

## a
DFT (GGA-PBE) results for an optimized crystal structure of TiFeRe.

The structure belongs to space group Amm2 (No. 38); the cell edges are 8.1556, 5.0058 and 8.5592 Å and the angles 90.00°, 90.00° and 90.00°. Symmetry generates all atoms from Ti at (0.1845, 0.0000, 0.0000), Ti at (0.3081, 0.0000, 0.3313), Fe at (0.0000, 0.0000, 0.4914), Fe at (0.0000, 0.2355, 0.2549), Fe at (0.5000, 0.0000, 0.8360), Re at (0.2370, 0.0000, 0.6687) and Re at (0.5000, 0.2441, 0.0791).

As for the crystal system: orthorhombic. The magnetic moment comes out at 1.40 μB per formula unit.

***

## b
DFT (GGA-PBE) results for an optimized crystal structure of TiFeRe.

The structure belongs to space group C2/m (No. 12); the cell edges are 9.0261, 4.2781 and 5.2391 Å and the angles 90.00°, 123.98° and 90.00°. Symmetry generates all atoms from Ti at (0.1624, 0.0000, 0.3248), Fe at (0.1715, 0.0000, 0.8390), Re at (0.0000, 0.5000, 0.0000) and Re at (0.0000, 0.5000, 0.5000).

As for the crystal system: monoclinic. The magnetic moment comes out at 1.50 μB per formula unit.

***

a is preferred energetically. Next in line: 52 meV/atom higher.

***

## a
DFT (GGA-PBE) results for an optimized crystal structure of TlFe2Re.

The structure belongs to space group Immm (No. 71); the cell edges are 3.1856, 4.5147 and 8.7151 Å and the angles 90.00°, 90.00° and 90.00°. Symmetry generates all atoms from Tl at (0.0000, 0.0000, 0.0000), Fe at (0.0000, 0.5000, 0.2362) and Re at (0.0000, 0.0000, 0.5000).

As for the crystal system: orthorhombic. The magnetic moment comes out at 5.83 μB per formula unit.

***

## b
DFT (GGA-PBE) results for an optimized crystal structure of TlFe2Re.

The structure belongs to space group Cmm2 (No. 35); the cell edges are 3.1357, 4.6074 and 8.8122 Å and the angles 90.00°, 90.00° and 90.00°. Symmetry generates all atoms from Tl at (0.0000, 0.0000, 0.0000), Fe at (0.0000, 0.0000, 0.4838), Fe at (0.0000, 0.5000, 0.2739) and Re at (0.0000, 0.5000, 0.7080).

As for the crystal system: orthorhombic. The magnetic moment comes out at 5.33 μB per formula unit.

***

## c
DFT (GGA-PBE) results for an optimized crystal structure of TlFe2Re.

The structure belongs to space group Cmmm (No. 65); the cell edges are 3.1800, 4.5589 and 8.6860 Å and the angles 90.00°, 90.00° and 90.00°. Symmetry generates all atoms from Tl at (0.0000, 0.0000, 0.0000), Fe at (0.0000, 0.5000, 0.2735) and Re at (0.0000, 0.0000, 0.5000).

As for the crystal system: orthorhombic. The magnetic moment comes out at 4.79 μB per formula unit.

***

c is preferred energetically. Next in line: 65 meV/atom higher.

***

## a
DFT (GGA-PBE) results for an optimized crystal structure of TlFe2Re.

The structure belongs to space group F-43m (No. 216); the cell edges are 6.2548, 6.2548 and 6.2548 Å and the angles 90.00°, 90.00° and 90.00°. Symmetry generates all atoms from Tl at (0.0000, 0.0000, 0.0000), Fe at (0.0000, 0.0000, 0.5000), Fe at (0.2500, 0.2500, 0.2500) and Re at (0.2500, 0.2500, 0.7500).

As for the crystal system: cubic. The magnetic moment comes out at 4.55 μB per formula unit.

***

## b
DFT (GGA-PBE) results for an optimized crystal structure of TlFe2Re.

The structure belongs to space group R3m (No. 160, hexagonal axes); the cell edges are 2.8938, 2.8938 and 26.2789 Å and the angles 90.00°, 90.00° and 120.00°. Symmetry generates all atoms from Tl at (0.0000, 0.0000, 0.0000), Fe at (0.0000, 0.0000, 0.4957), Fe at (0.0000, 0.0000, 0.7585) and Re at (0.0000, 0.0000, 0.2362).

As for the crystal system: trigonal. The magnetic moment comes out at 5.16 μB per formula unit.

***

b is preferred energetically. Next in line: 155 meV/atom higher.

***

## a
DFT (GGA-PBE) results for an optimized crystal structure of TlFe2Re.

The structure belongs to space group Imm2 (No. 44); the cell edges are 3.0076, 4.4914 and 8.9570 Å and the angles 90.00°, 90.00° and 90.00°. Symmetry generates all atoms from Tl at (0.0000, 0.0000, 0.0000), Fe at (0.0000, 0.0000, 0.4787), Fe at (0.0000, 0.5000, 0.7600) and Re at (0.0000, 0.5000, 0.2222).

As for the crystal system: orthorhombic. The magnetic moment comes out at 5.39 μB per formula unit.

***

## b
DFT (GGA-PBE) results for an optimized crystal structure of TlFe2Re.

The structure belongs to space group Pm (No. 6); the cell edges are 2.8429, 3.5202 and 6.1650 Å and the angles 90.00°, 90.14° and 90.00°. Symmetry generates all atoms from Tl at (0.0000, 0.0000, 0.0000), Fe at (0.0002, 0.0000, 0.5196), Fe at (0.5006, 0.5000, 0.7156) and Re at (0.4984, 0.5000, 0.3288).

As for the crystal system: monoclinic. The magnetic moment comes out at 3.78 μB per formula unit.

***

## c
DFT (GGA-PBE) results for an optimized crystal structure of TlFe2Re.

The structure belongs to space group Cm (No. 8); the cell edges are 8.8613, 2.8944 and 4.8666 Å and the angles 90.00°, 102.24° and 90.00°. Symmetry generates all atoms from Tl at (0.0000, 0.0000, 0.0000), Fe at (0.0080, 0.5000, 0.5105), Fe at (0.2395, 0.0000, 0.7308) and Re at (0.2674, 0.5000, 0.3258).

As for the crystal system: monoclinic. The magnetic moment comes out at 4.04 μB per formula unit.

***

b is preferred energetically. Next in line: 36 meV/atom higher.

***

## a
DFT (GGA-PBE) results for an optimized crystal structure of TlFe2Re.

The structure belongs to space group Pmmm (No. 47); the cell edges are 2.9033, 3.6095 and 5.8381 Å and the angles 90.00°, 90.00° and 90.00°. Symmetry generates all atoms from Tl at (0.0000, 0.0000, 0.0000), Fe at (0.5000, 0.5000, 0.3000) and Re at (0.0000, 0.0000, 0.5000).

As for the crystal system: orthorhombic. The magnetic moment comes out at 3.75 μB per formula unit.

***

## b
DFT (GGA-PBE) results for an optimized crystal structure of TlFe2Re.

The structure belongs to space group P4mm (No. 99); the cell edges are 2.9153, 2.9153 and 7.2560 Å and the angles 90.00°, 90.00° and 90.00°. Symmetry generates all atoms from Tl at (0.0000, 0.0000, 0.0000), Fe at (0.0000, 0.0000, 0.4834), Fe at (0.5000, 0.5000, 0.2894) and Re at (0.5000, 0.5000, 0.6842).

As for the crystal system: tetragonal. The magnetic moment comes out at 4.54 μB per formula unit.

***

## c
DFT (GGA-PBE) results for an optimized crystal structure of TlFe2Re.

The structure belongs to space group Cmmm (No. 65); the cell edges are 5.6196, 7.6794 and 2.8226 Å and the angles 90.00°, 90.00° and 90.00°. Symmetry generates all atoms from Tl at (0.0000, 0.0000, 0.0000), Fe at (0.2500, 0.2500, 0.5000) and Re at (0.0000, 0.5000, 0.0000).

As for the crystal system: orthorhombic. The magnetic moment comes out at 5.25 μB per formula unit.

***

## d
DFT (GGA-PBE) results for an optimized crystal structure of TlFe2Re.

The structure belongs to space group I4/mmm (No. 139); the cell edges are 4.1337, 4.1337 and 6.9869 Å and the angles 90.00°, 90.00° and 90.00°. Symmetry generates all atoms from Tl at (0.0000, 0.0000, 0.0000), Fe at (0.0000, 0.5000, 0.2500) and Re at (0.0000, 0.0000, 0.5000).

As for the crystal system: tetragonal. The magnetic moment comes out at 4.77 μB per formula unit.

***

b is preferred energetically. Next in line: 11 meV/atom higher.

***

## a
DFT (GGA-PBE) results for an optimized crystal structure of TlFe2Re.

The structure belongs to space group P4/mmm (No. 123); the cell edges are 4.1836, 4.1836 and 3.4650 Å and the angles 90.00°, 90.00° and 90.00°. Symmetry generates all atoms from Tl at (0.0000, 0.0000, 0.0000), Fe at (0.0000, 0.5000, 0.5000) and Re at (0.5000, 0.5000, 0.0000).

As for the crystal system: tetragonal. The magnetic moment comes out at 5.78 μB per formula unit.

***

## b
DFT (GGA-PBE) results for an optimized crystal structure of TlFe2Re.

The structure belongs to space group I-4m2 (No. 119); the cell edges are 3.8881, 3.8881 and 7.9747 Å and the angles 90.00°, 90.00° and 90.00°. Symmetry generates all atoms from Tl at (0.0000, 0.0000, 0.0000), Fe at (0.0000, 0.0000, 0.5000), Fe at (0.0000, 0.5000, 0.7500) and Re at (0.0000, 0.5000, 0.2500).

As for the crystal system: tetragonal. The magnetic moment comes out at 4.85 μB per formula unit.

***

## c
DFT (GGA-PBE) results for an optimized crystal structure of TlFe2Re.

The structure belongs to space group I-42d (No. 122); the cell edges are 6.8835, 6.8835 and 5.5628 Å and the angles 90.00°, 90.00° and 90.00°. Symmetry generates all atoms from Tl at (0.0000, 0.0000, 0.0000), Fe at (0.1940, 0.2500, 0.6250) and Re at (0.0000, 0.0000, 0.5000).

As for the crystal system: tetragonal. The magnetic moment comes out at 0.00 μB per formula unit.

***

## d
DFT (GGA-PBE) results for an optimized crystal structure of TlFe2Re.

The structure belongs to space group P4/mmm (No. 123); the cell edges are 2.8394, 2.8394 and 7.2560 Å and the angles 90.00°, 90.00° and 90.00°. Symmetry generates all atoms from Tl at (0.0000, 0.0000, 0.0000), Fe at (0.5000, 0.5000, 0.2832) and Re at (0.0000, 0.0000, 0.5000).

As for the crystal system: tetragonal. The magnetic moment comes out at 1.15 μB per formula unit.

***

d is preferred energetically. Next in line: 154 meV/atom higher.

***

## a
DFT (GGA-PBE) results for an optimized crystal structure of TlFe2Re.

The structure belongs to space group C2/m (No. 12); the cell edges are 8.6792, 2.8919 and 5.0329 Å and the angles 90.00°, 99.13° and 90.00°. Symmetry generates all atoms from Tl at (0.0000, 0.0000, 0.0000), Fe at (0.2422, 0.0000, 0.6898) and Re at (0.0000, 0.5000, 0.5000).

As for the crystal system: monoclinic. The magnetic moment comes out at 3.79 μB per formula unit.

***

## b
DFT (GGA-PBE) results for an optimized crystal structure of TlFe2Re.

The structure belongs to space group Fm-3m (No. 225); the cell edges are 6.1768, 6.1768 and 6.1768 Å and the angles 90.00°, 90.00° and 90.00°. Symmetry generates all atoms from Tl at (0.0000, 0.0000, 0.0000), Fe at (0.2500, 0.2500, 0.2500) and Re at (0.0000, 0.0000, 0.5000).

As for the crystal system: cubic. The magnetic moment comes out at 4.22 μB per formula unit.

***

a is preferred energetically. Next in line: 63 meV/atom higher.

***

## a
DFT (GGA-PBE) results for an optimized crystal structure of Tl2FeRe.

The structure belongs to space group R3m (No. 160, hexagonal axes); the cell edges are 3.1177, 3.1177 and 28.2554 Å and the angles 90.00°, 90.00° and 120.00°. Symmetry generates all atoms from Tl at (0.0000, 0.0000, 0.0000), Tl at (0.0000, 0.0000, 0.2307), Fe at (0.0000, 0.0000, 0.4802) and Re at (0.0000, 0.0000, 0.7549).

As for the crystal system: trigonal. The magnetic moment comes out at 2.31 μB per formula unit.

***

## b
DFT (GGA-PBE) results for an optimized crystal structure of Tl2FeRe.

The structure belongs to space group Cmmm (No. 65); the cell edges are 6.5853, 6.6158 and 3.3421 Å and the angles 90.00°, 90.00° and 90.00°. Symmetry generates all atoms from Tl at (0.2500, 0.2500, 0.0000), Fe at (0.0000, 0.0000, 0.5000) and Re at (0.0000, 0.5000, 0.5000).

As for the crystal system: orthorhombic. The magnetic moment comes out at 2.66 μB per formula unit.

***

a is preferred energetically. Next in line: 372 meV/atom higher.